Entry 1:
GdTaO4, optimized geometry, DFT PBEsol; formation energy (no corrections) = -3.26 eV per atom; space group = P2/c (13)
1.0
5.154 0.000 0.000
0.000 5.476 0.000
-0.649 0.000 5.297
Gd Ta O
2 2 8
Direct
0.000 0.234 0.250
0.000 0.766 0.750
0.500 0.309 0.750
0.500 0.691 0.250
0.252 0.084 0.604
0.252 0.916 0.104
0.270 0.439 0.992
0.270 0.561 0.492
0.730 0.439 0.508
0.730 0.561 0.008
0.748 0.084 0.896
0.748 0.916 0.396

Entry 2:
GdTa3O9, optimized geometry, DFT PBEsol; formation energy (no corrections) = -3.04 eV per atom; distance to the lowest polymorph of the same formula = 0.00 kcal/mol of atoms; space group = P2_1/m (11)
1.0
5.293 0.000 0.000
0.000 7.475 0.000
-0.355 0.000 8.208
Gd Ta O
2 6 18
Direct
0.034 0.250 0.434
0.966 0.750 0.566
0.000 0.000 0.000
0.000 0.500 0.000
0.471 0.007 0.697
0.471 0.493 0.697
0.529 0.507 0.303
0.529 0.993 0.303
0.096 0.250 0.979
0.148 0.563 0.785
0.148 0.937 0.785
0.260 0.542 0.467
0.260 0.958 0.467
0.324 0.554 0.120
0.324 0.946 0.120
0.339 0.250 0.656
0.429 0.250 0.313
0.571 0.750 0.687
0.661 0.750 0.344
0.676 0.054 0.880
0.676 0.446 0.880
0.740 0.042 0.533
0.740 0.458 0.533
0.852 0.063 0.215
0.852 0.437 0.215
0.904 0.750 0.021

Entry 3:
GdTa3O9, optimized geometry, DFT PBEsol; formation energy (no corrections) = -3.03 eV per atom; distance to the lowest polymorph of the same formula = 0.12 kcal/mol of atoms; space group = C2/m (12)
1.0
6.220 -3.775 0.000
6.220 3.775 0.000
-0.531 0.000 6.444
Gd Ta O
2 6 18
Direct
0.231 0.231 0.055
0.769 0.769 0.945
0.000 0.500 0.500
0.213 0.717 0.236
0.283 0.787 0.764
0.500 0.000 0.500
0.717 0.213 0.236
0.787 0.283 0.764
0.003 0.578 0.216
0.043 0.043 0.708
0.121 0.698 0.929
0.199 0.618 0.547
0.227 0.227 0.418
0.302 0.879 0.071
0.382 0.801 0.453
0.422 0.997 0.784
0.425 0.425 0.187
0.575 0.575 0.813
0.578 0.003 0.216
0.618 0.199 0.547
0.698 0.121 0.929
0.773 0.773 0.582
0.801 0.382 0.453
0.879 0.302 0.071
0.957 0.957 0.292
0.997 0.422 0.784

Entry 4:
GdTa3O9, optimized geometry, DFT PBEsol; formation energy (no corrections) = -3.04 eV per atom; distance to the lowest polymorph of the same formula = 0.01 kcal/mol of atoms; space group = Pnma (62)
1.0
6.426 0.000 0.000
0.000 7.603 0.000
0.000 0.000 12.460
Gd Ta O
4 12 36
Direct
0.057 0.250 0.032
0.443 0.750 0.532
0.557 0.250 0.468
0.943 0.750 0.968
0.000 0.000 0.500
0.000 0.500 0.500
0.201 0.003 0.788
0.201 0.497 0.788
0.299 0.503 0.288
0.299 0.997 0.288
0.500 0.000 0.000
0.500 0.500 0.000
0.701 0.003 0.712
0.701 0.497 0.712
0.799 0.503 0.212
0.799 0.997 0.212
0.014 0.045 0.657
0.014 0.455 0.657
0.070 0.750 0.527
0.107 0.036 0.168
0.107 0.464 0.168
0.161 0.250 0.831
0.200 0.750 0.807
0.205 0.530 0.963
0.205 0.970 0.963
0.295 0.030 0.463
0.295 0.470 0.463
0.300 0.250 0.307
0.339 0.750 0.331
0.393 0.536 0.668
0.393 0.964 0.668
0.430 0.250 0.027
0.486 0.545 0.157
0.486 0.955 0.157
0.514 0.045 0.843
0.514 0.455 0.843
0.570 0.750 0.973
0.607 0.036 0.332
0.607 0.464 0.332
0.661 0.250 0.669
0.700 0.750 0.693
0.705 0.530 0.537
0.705 0.970 0.537
0.795 0.030 0.037
0.795 0.470 0.037
0.800 0.250 0.193
0.839 0.750 0.169
0.893 0.536 0.832
0.893 0.964 0.832
0.930 0.250 0.473
0.986 0.545 0.343
0.986 0.955 0.343

Entry 5:
Gd3TaO7, optimized geometry, DFT PBEsol; formation energy (no corrections) = -3.39 eV per atom; distance to the lowest polymorph of the same formula = 0.00 kcal/mol of atoms; space group = C222_1 (20)
1.0
3.768 -5.285 0.000
3.768 5.285 0.000
0.000 0.000 7.493
Gd Ta O
6 2 14
Direct
0.031 0.031 0.000
0.036 0.499 0.259
0.499 0.036 0.741
0.501 0.964 0.241
0.964 0.501 0.759
0.969 0.969 0.500
0.499 0.499 0.500
0.501 0.501 0.000
0.129 0.871 0.750
0.138 0.862 0.250
0.173 0.418 0.976
0.192 0.448 0.543
0.418 0.173 0.024
0.435 0.565 0.250
0.448 0.192 0.457
0.552 0.808 0.957
0.565 0.435 0.750
0.582 0.827 0.524
0.808 0.552 0.043
0.827 0.582 0.476
0.862 0.138 0.750
0.871 0.129 0.250

Entry 6:
Gd3TaO7, optimized geometry, DFT PBEsol; formation energy (no corrections) = -3.38 eV per atom; distance to the lowest polymorph of the same formula = 0.36 kcal/mol of atoms; space group = Cmcm (63)
1.0
5.322 -3.655 0.000
5.322 3.655 0.000
0.000 0.000 7.519
Gd Ta O
6 2 14
Direct
0.000 0.000 0.000
0.000 0.000 0.500
0.063 0.480 0.750
0.480 0.063 0.250
0.520 0.937 0.750
0.937 0.520 0.250
0.500 0.500 0.000
0.500 0.500 0.500
0.109 0.154 0.250
0.154 0.109 0.750
0.179 0.564 0.036
0.179 0.564 0.464
0.423 0.577 0.750
0.436 0.821 0.036
0.436 0.821 0.464
0.564 0.179 0.536
0.564 0.179 0.964
0.577 0.423 0.250
0.821 0.436 0.536
0.821 0.436 0.964
0.846 0.891 0.250
0.891 0.846 0.750